HgPOs2: relaxed, PBE.

Values from the calculation:
* energy relative to the elements: 0.61 eV/atom
* E above lowest polymorph: 316 meV per atom

a = 7.037 Å, b = 7.037 Å, c = 5.357 Å
α = 90.00°, β = 90.00°, γ = 90.00°
Space group I-42d (No. 122)
Symmetry-distinct sites (fractional):
Hg (0.000, 0.000, 0.000) [4 per cell]
P (0.000, 0.000, 0.500) [4 per cell]
Os (0.179, 0.250, 0.625) [8 per cell]


Cs2KYbCl6: relaxed, PBE.

Values from the calculation:
* formation energy without anion corrections: -1.855 eV per atom

a = 11.406 Å, b = 11.406 Å, c = 11.406 Å
α = 90.00°, β = 90.00°, γ = 90.00°
Space group Fm-3m (No. 225)
Symmetry-distinct sites (fractional):
Cs (0.250, 0.250, 0.250) [8 per cell]
K (0.000, 0.000, 0.000) [4 per cell]
Yb (0.000, 0.000, 0.500) [4 per cell]
Cl (0.000, 0.000, 0.265) [24 per cell]


Calculated total energy (computed, hartree per atom): -0.2365; -0.1248